[1]
An optimized crystal structure of Sm12GaRu6, computed with PBE.

abc: 8.364 8.364 8.364
angles: 101.98 101.98 101.98
Atoms (fractional coordinates):
Sm1 0.823 0.586 0.448
Sm2 0.448 0.823 0.586
Sm3 0.586 0.448 0.823
Sm4 0.177 0.414 0.552
Sm5 0.552 0.177 0.414
Sm6 0.414 0.552 0.177
Sm7 0.076 0.922 0.332
Sm8 0.078 0.668 0.924
Sm9 0.668 0.924 0.078
Sm10 0.924 0.078 0.668
Sm11 0.922 0.332 0.076
Sm12 0.332 0.076 0.922
Ga1 0.000 0.000 0.000
Ru1 0.697 0.857 0.390
Ru2 0.610 0.303 0.143
Ru3 0.143 0.610 0.303
Ru4 0.303 0.143 0.610
Ru5 0.390 0.697 0.857
Ru6 0.857 0.390 0.697

Results
For the energy of formation from the pure elements, the calculation gives -0.118 eV/atom. The mass density comes out at 7.6 g/cm³.



[2]
An optimized crystal structure of Cd2S2Br, computed with PBE.

abc: 4.956 4.956 5.887
angles: 65.11 65.11 90.00
Atoms (fractional coordinates):
S1 0.356 0.356 0.288
S2 0.644 0.644 0.712
Br1 0.000 0.000 0.000
Cd1 0.750 0.250 0.500
Cd2 0.250 0.750 0.500

Results
The value obtained for the final energy is -13.1 eV/f.u. The mass density comes out at 5.3 g/cm³.



[3]
An optimized crystal structure of K2GaBiH, computed with PBE.

abc: 4.564 6.787 11.151
angles: 112.55 90.00 90.00
Atoms (fractional coordinates):
K1 0.750 0.776 0.561
K2 0.750 0.787 0.059
K3 0.250 0.224 0.439
K4 0.250 0.213 0.941
Ga1 0.250 0.627 0.771
Ga2 0.750 0.373 0.229
Bi1 0.250 0.633 0.278
Bi2 0.750 0.367 0.722
H1 0.250 0.800 0.928
H2 0.750 0.200 0.072

Results
The value obtained for the final energy is -13.6 eV/f.u. The mass density comes out at 3.7 g/cm³.